Entry 1:
Compound: Li2BeMo
Source: Alexandria
Functional: PBE
Structure: relaxed

a b c (Å): 2.4217 4.7626 4.6622
angles (deg): 90.00 92.44 90.00
With the nearest neighbours (Å) after each atom.
Fractional coordinates of all 4 atoms:
Li: 0.1500 0.0000 0.2448  4 Li 2.37-2.52
Li: 0.8500 0.0000 0.7552  4 Li 2.37-2.52
Be: 0.0000 0.5000 0.5000  2 Be 2.42, 4 Mo 2.58-2.67, 4 Li 2.69
Mo: 0.5000 0.5000 0.0000  2 Mo 2.42, 4 Be 2.58-2.67

Output
ΔH_f (0 K): 124 kJ/mol of formula units
Excess energy over the best structure of this formula in the dataset: 119 meV per atom
E: -4.275 eV per atom



Entry 2:
Compound: CaPtSe
Source: Alexandria
Functional: PBE
Structure: relaxed

a b c (Å): 5.0043 5.0043 7.3015
angles (deg): 98.76 98.76 55.66
With the nearest neighbours (Å) after each atom.
Fractional coordinates of all 6 atoms:
Ca: 0.0000 0.0000 0.0000  4 Pt 2.80-3.03, 3 Se 3.09-3.11
Ca: 0.1986 0.1986 0.5592  1 Pt 2.85, 4 Se 3.07-3.13
Pt: 0.3221 0.3221 0.2233  2 Se 2.55, 2 Pt 2.78, 1 Ca 2.85
Pt: 0.6954 0.6954 0.0573  2 Se 2.46-2.48
Se: 0.5462 0.5462 0.7377  1 Pt 2.48
Se: 0.8630 0.8630 0.3640  3 Pt 2.46-2.55

Output
Formation energy without anion corrections: -1.0471 eV/atom
E: -4.889 eV per atom



Entry 3:
Compound: Co3Ir3Ru
Source: Alexandria
Functional: PBE
Structure: relaxed

a b c (Å): 7.0226 7.0226 4.2480
angles (deg): 90.00 90.00 120.00
With the nearest neighbours (Å) after each atom.
Fractional coordinates of all 14 atoms:
Co: 0.1000 0.6189 0.2500  5 Ir 2.57-2.71, 4 Co 2.60-2.63, 3 Ru 2.60-2.68
Co: 0.3811 0.4811 0.2500  5 Ir 2.57-2.71, 4 Co 2.60-2.63, 3 Ru 2.60-2.68
Co: 0.4811 0.1000 0.7500  5 Ir 2.57-2.71, 4 Co 2.60-2.63, 3 Ru 2.60-2.68
Co: 0.5189 0.9000 0.2500  5 Ir 2.57-2.71, 4 Co 2.60-2.63, 3 Ru 2.60-2.68
Co: 0.6189 0.5189 0.7500  5 Ir 2.57-2.71, 4 Co 2.60-2.63, 3 Ru 2.60-2.68
Co: 0.9000 0.3811 0.7500  5 Ir 2.57-2.71, 4 Co 2.60-2.63, 3 Ru 2.60-2.68
Ir: 0.0469 0.7972 0.7500  5 Co 2.57-2.71, 1 Ru 2.59, 6 Ir 2.67-2.80
Ir: 0.2028 0.2497 0.7500  5 Co 2.57-2.71, 1 Ru 2.59, 6 Ir 2.67-2.80
Ir: 0.2497 0.0469 0.2500  5 Co 2.57-2.71, 1 Ru 2.59, 6 Ir 2.67-2.80
Ir: 0.7503 0.9531 0.7500  5 Co 2.57-2.71, 1 Ru 2.59, 6 Ir 2.67-2.80
Ir: 0.7972 0.7503 0.2500  5 Co 2.57-2.71, 1 Ru 2.59, 6 Ir 2.67-2.80
Ir: 0.9531 0.2028 0.2500  5 Co 2.57-2.71, 1 Ru 2.59, 6 Ir 2.67-2.80
Ru: 0.3333 0.6667 0.7500  3 Ir 2.59, 9 Co 2.60-2.68
Ru: 0.6667 0.3333 0.2500  3 Ir 2.59, 9 Co 2.60-2.68

Output
ΔH_f (0 K): 37 kJ/mol of formula units
E: -8.113 eV per atom



Entry 4:
Compound: Be2CrTe
Source: Alexandria
Functional: PBE
Structure: relaxed

a b c (Å): 4.7345 4.7345 4.7345
angles (deg): 134.65 134.65 66.07
With the nearest neighbours (Å) after each atom.
Fractional coordinates of all 4 atoms:
Be: 0.0000 0.0000 0.0000  4 Cr 2.58, 4 Be 2.70, 4 Te 2.70
Be: 0.7500 0.2500 0.5000  4 Te 2.58, 4 Cr 2.70, 4 Be 2.70
Cr: 0.5000 0.5000 0.0000  8 Be 2.58-2.70, 4 Te 2.70
Te: 0.2500 0.7500 0.5000  8 Be 2.58-2.70, 4 Cr 2.70

Output
Formation energy without anion corrections: 0.4459 eV/atom
E: -4.608 eV per atom



Entry 5:
Compound: Mg5Sb
Source: Alexandria
Functional: PBE
Structure: relaxed

a b c (Å): 5.8877 5.8877 5.8877
angles (deg): 60.00 60.00 60.00
With the nearest neighbours (Å) after each atom.
Fractional coordinates of all 6 atoms:
Mg: 0.0000 0.0000 0.0000  12 Mg 3.45, 4 Sb 3.61
Mg: 0.1258 0.6247 0.6247  6 Mg 2.94-2.95
Mg: 0.6247 0.1258 0.6247  6 Mg 2.94-2.95
Mg: 0.6247 0.6247 0.1258  6 Mg 2.94-2.95
Mg: 0.6247 0.6247 0.6247  6 Mg 2.94-2.95
Sb: 0.2500 0.2500 0.2500  16 Mg 3.45-3.61

Output
Formation energy without anion corrections: 0.0578 eV/atom
Excess energy over the best structure of this formula in the dataset: 164 meV per atom
E: -1.958 eV per atom



Entry 6:
Compound: DyTl3I2O9
Source: Alexandria
Functional: PBE
Structure: relaxed

a b c (Å): 6.0116 6.0116 7.3111
angles (deg): 90.00 90.00 120.00
With the nearest neighbours (Å) after each atom.
Fractional coordinates of all 15 atoms:
Dy: 0.0000 0.0000 0.0000  6 O 2.29
Tl: 0.0000 0.0000 0.5000  12 O 3.01-3.02
Tl: 0.3333 0.6667 0.1847  12 O 2.89-3.09
Tl: 0.6667 0.3333 0.8153  12 O 2.89-3.09
I: 0.3333 0.6667 0.6737  3 O 1.92
I: 0.6667 0.3333 0.3263  3 O 1.92
O: 0.0000 0.5000 0.5000  2 I 2.15
O: 0.1815 0.3629 0.8219  1 I 1.92
O: 0.1815 0.8185 0.8219  1 I 1.92
O: 0.3629 0.1815 0.1781  1 I 1.92
O: 0.5000 0.0000 0.5000  2 I 2.15
O: 0.5000 0.5000 0.5000  2 I 2.15
O: 0.6371 0.8185 0.8219  1 I 1.92
O: 0.8185 0.1815 0.1781  1 I 1.92
O: 0.8185 0.6371 0.1781  1 I 1.92

Output
Formation energy without anion corrections: -0.9416 eV/atom
E: -4.903 eV per atom



Entry 7:
Compound: Tm6Te3AsPd2
Source: Alexandria
Functional: PBE
Structure: relaxed

a b c (Å): 7.1598 7.1598 7.5388
angles (deg): 99.18 99.18 120.30
With the nearest neighbours (Å) after each atom.
Fractional coordinates of all 12 atoms:
Tm: 0.0893 0.4283 0.7838  2 Pd 2.81-2.83, 1 As 2.87, 3 Te 3.13-3.15
Tm: 0.2322 0.2322 0.2155  2 Pd 2.83, 1 As 2.88, 3 Te 3.10-3.12
Tm: 0.4283 0.0893 0.7838  2 Pd 2.81-2.83, 1 As 2.87, 3 Te 3.13-3.15
Tm: 0.5717 0.9107 0.2162  2 Pd 2.81-2.83, 1 As 2.87, 3 Te 3.13-3.15
Tm: 0.7678 0.7678 0.7845  2 Pd 2.83, 1 As 2.88, 3 Te 3.10-3.12
Tm: 0.9107 0.5717 0.2162  2 Pd 2.81-2.83, 1 As 2.87, 3 Te 3.13-3.15
Te: 0.0000 0.0000 0.5000  6 Tm 3.10-3.14
Te: 0.3369 0.6631 0.5000  6 Tm 3.12-3.15
Te: 0.6631 0.3369 0.5000  6 Tm 3.12-3.15
As: 0.5000 0.5000 0.0000  6 Tm 2.87-2.88
Pd: 0.1677 0.8323 0.0000  6 Tm 2.81-2.83
Pd: 0.8323 0.1677 0.0000  6 Tm 2.81-2.83

Output
Formation energy without anion corrections: -1.1309 eV/atom
E: -5.405 eV per atom



Entry 8:
Compound: TeP2Pb
Source: Alexandria
Functional: PBE
Structure: relaxed

a b c (Å): 5.5581 5.5581 5.5581
angles (deg): 139.43 119.26 75.62
With the nearest neighbours (Å) after each atom.
Fractional coordinates of all 4 atoms:
Te: 0.0000 0.0000 0.0000  4 P 2.72
P: 0.2185 0.7185 0.5000  2 Te 2.72
P: 0.7815 0.2815 0.5000  2 Te 2.72
Pb: 0.5000 0.5000 0.0000  8 P 3.13-3.40, 4 Te 3.41

Output
Formation energy without anion corrections: 0.5003 eV/atom
Excess energy over the best structure of this formula in the dataset: 393 meV per atom
E: -3.917 eV per atom



Entry 9:
Compound: Hf3TiGa
Source: Alexandria
Functional: PBE
Structure: relaxed

a b c (Å): 4.9587 4.9587 4.9587
angles (deg): 90.00 90.00 90.00
With the nearest neighbours (Å) after each atom.
Fractional coordinates of all 5 atoms:
Hf: 0.0000 0.0000 0.5000  2 Ga 2.48
Hf: 0.0000 0.5000 0.0000  2 Ga 2.48
Hf: 0.5000 0.0000 0.0000  2 Ga 2.48
Ti: 0.5000 0.5000 0.5000  12 Hf 3.51
Ga: 0.0000 0.0000 0.0000  6 Hf 2.48

Output
ΔH_f (0 K): 349 kJ/mol of formula units
Excess energy over the best structure of this formula in the dataset: 271 meV per atom
E: -7.434 eV per atom



Entry 10:
Compound: CePu3N
Source: Alexandria
Functional: PBE
Structure: relaxed

a b c (Å): 4.8414 4.8414 4.8414
angles (deg): 90.00 90.00 90.00
With the nearest neighbours (Å) after each atom.
Fractional coordinates of all 5 atoms:
Ce: 0.0000 0.0000 0.0000  12 Pu 3.42
Pu: 0.0000 0.5000 0.5000  2 N 2.42
Pu: 0.5000 0.0000 0.5000  2 N 2.42
Pu: 0.5000 0.5000 0.0000  2 N 2.42
N: 0.5000 0.5000 0.5000  6 Pu 2.42

Output
Formation energy without anion corrections: -0.2785 eV/atom
E: -11.730 eV per atom